Entry 1:
A plane-wave DFT calculation with GGA-PBE was carried out for crystalline BeIN2 at its relaxed geometry.

```
BeIN2
1.0
0.0000 2.7999 2.7999
2.7999 0.0000 2.7999
2.7999 2.7999 0.0000
Be I N
1 1 2
Cartesian
0.0000 0.0000 0.0000
2.7999 2.7999 2.7999
1.3999 1.3999 1.3999
4.1998 4.1998 4.1998
```

**Polymorph energy (0 for the lowest one)**: 2106 meV/atom
**M_tot**: 0.00 μB per cell

***

Entry 2:
A plane-wave DFT calculation with GGA-PBE was carried out for crystalline BeSb2Se at its relaxed geometry.

```
BeSb2Se
1.0
1.7558 -2.9315 0.0000
1.7558 2.9315 0.0000
0.0000 0.0000 9.1500
Be Sb Se
1 2 1
Cartesian
0.0000 0.0000 0.0000
0.0000 0.0000 4.3850
1.7558 0.0000 7.0306
1.7558 0.0000 1.1902
```

**Polymorph energy (0 for the lowest one)**: 247 meV/atom
**M_tot**: 0.00 μB per cell

***

Entry 3:
A plane-wave DFT calculation with GGA-PBE was carried out for crystalline NaY2Ge2 at its relaxed geometry.

```
NaY2Ge2
1.0
8.6090 0.0000 0.0000
0.0000 8.6090 0.0000
0.0000 0.0000 3.3495
Na Y Ge
2 4 4
Cartesian
0.0000 0.0000 0.0000
4.3045 4.3045 0.0000
1.1710 3.1335 0.0000
3.1335 7.4381 0.0000
5.4755 1.1710 0.0000
7.4381 5.4755 0.0000
1.4239 5.7284 1.6747
2.8806 1.4239 1.6747
5.7284 7.1851 1.6747
7.1851 2.8806 1.6747
```

**Polymorph energy (0 for the lowest one)**: 69 meV/atom
**Formation energy from the elements**: -0.471 eV per atom
**M_tot**: 0.00 μB per cell

***

Entry 4:
A plane-wave DFT calculation with GGA-PBE was carried out for crystalline Pu2Br3Cl at its relaxed geometry.

```
Pu2Br3Cl
1.0
8.4887 -2.1903 0.0000
8.4887 2.1903 0.0000
-5.8237 0.0000 10.3606
Pu Br Cl
4 6 2
Cartesian
-0.5761 0.0000 4.4680
5.0492 0.0000 1.7434
6.1046 0.0000 8.6172
11.7299 0.0000 5.8925
2.5603 0.0000 0.1137
2.4237 0.0000 3.9316
3.1465 0.0000 7.9337
8.0073 0.0000 2.4269
8.7301 0.0000 6.4290
8.5935 0.0000 10.2468
-2.4931 0.0000 6.7741
13.6469 0.0000 3.5865
```

**M_tot**: 24.00 μB per cell
**Calculated total energy**: -7.42 eV per atom